Record 1
Below is TaTi4Al after structural relaxation, with properties calculated at the PBE-GGA level.

```
TaTi4Al
1.0
2.762 0.000 0.000
0.000 4.599 0.000
0.000 0.000 7.972
Ta Ti Al
1 4 1
Direct
0.000 0.000 0.000
0.500 0.000 0.336
0.500 0.000 0.664
0.500 0.500 0.168
0.500 0.500 0.832
0.000 0.500 0.500
```

Properties
Space-group type: No. 47
Relative energy among the computed polymorphs: 0 meV/atom
Fermi-level density of states: 7.572 states/eV per cell
Total magnetic moment: 0.0 μB per formula unit
Raw total energy: -47.62 eV/cell


Record 2
Below is Ta3TiAl after structural relaxation, with properties calculated at the PBE-GGA level.

```
Ta3TiAl
1.0
4.684 0.000 0.000
0.000 4.684 0.000
0.000 0.000 4.684
Ta Ti Al
3 1 1
Direct
0.000 0.000 0.500
0.000 0.500 0.000
0.500 0.000 0.000
0.000 0.000 0.000
0.500 0.500 0.500
```

Properties
Space-group type: No. 221
Relative energy among the computed polymorphs: 108 meV/atom
Fermi-level density of states: 5.125 states/eV per cell
Total magnetic moment: 0.0 μB per formula unit
Raw total energy: -40.52 eV/cell


Record 3
Below is TaTiAl after structural relaxation, with properties calculated at the PBE-GGA level.

```
TaTiAl
1.0
7.553 0.000 0.000
0.000 3.071 0.000
0.000 0.000 9.045
Ta Ti Al
4 4 4
Direct
0.121 0.250 0.084
0.379 0.750 0.584
0.621 0.250 0.416
0.879 0.750 0.916
0.064 0.250 0.658
0.436 0.750 0.158
0.564 0.250 0.842
0.936 0.750 0.342
0.241 0.250 0.366
0.259 0.750 0.866
0.741 0.250 0.134
0.759 0.750 0.634
```

Properties
Space-group type: No. 62
Relative energy among the computed polymorphs: 44 meV/atom
Fermi-level density of states: 14.273 states/eV per cell
Total magnetic moment: 0.0 μB per formula unit
Raw total energy: -95.55 eV/cell


Record 4
Below is Ta3TiAl2 after structural relaxation, with properties calculated at the PBE-GGA level.

```
Ta3TiAl2
1.0
1.903 -6.525 0.000
1.903 6.525 0.000
0.000 0.000 4.119
Ta Ti Al
3 1 2
Direct
0.000 0.000 0.000
0.332 0.668 0.000
0.668 0.332 0.000
0.500 0.500 0.500
0.164 0.836 0.500
0.836 0.164 0.500
```

Properties
Space-group type: No. 65
Fermi-level density of states: 5.096 states/eV per cell
Total magnetic moment: 0.0 μB per formula unit
Raw total energy: -52.10 eV/cell


Record 5
Below is Ta4Ti9Al11 after structural relaxation, with properties calculated at the PBE-GGA level.

```
Ta4Ti9Al11
1.0
8.419 -8.443 0.000
8.419 8.443 0.000
0.000 0.000 2.793
Ta Ti Al
4 9 11
Direct
0.053 0.222 0.000
0.222 0.053 0.000
0.778 0.947 0.000
0.947 0.778 0.000
0.000 0.000 0.000
0.124 0.629 0.000
0.296 0.466 0.000
0.371 0.876 0.000
0.466 0.296 0.000
0.534 0.704 0.000
0.629 0.124 0.000
0.704 0.534 0.000
0.876 0.371 0.000
0.088 0.424 0.500
0.151 0.849 0.500
0.260 0.260 0.500
0.328 0.672 0.500
0.424 0.088 0.500
0.500 0.500 0.500
0.576 0.912 0.500
0.672 0.328 0.500
0.740 0.740 0.500
0.849 0.151 0.500
0.912 0.576 0.500
```

Properties
Space-group type: No. 65
Fermi-level density of states: 22.054 states/eV per cell
Total magnetic moment: 0.3 μB per formula unit
Raw total energy: -166.84 eV/cell


Record 6
Below is TaTiAl3 after structural relaxation, with properties calculated at the PBE-GGA level.

```
TaTiAl3
1.0
4.915 0.000 0.000
0.000 4.915 0.000
0.000 0.000 4.915
Ta Ti Al
1 1 3
Direct
0.000 0.000 0.000
0.500 0.500 0.500
0.000 0.000 0.500
0.000 0.500 0.000
0.500 0.000 0.000
```

Properties
Space-group type: No. 221
Relative energy among the computed polymorphs: 1195 meV/atom
Fermi-level density of states: 7.679 states/eV per cell
Total magnetic moment: 1.6 μB per formula unit
Raw total energy: -26.27 eV/cell


Record 7
Below is TaTi12Al6 after structural relaxation, with properties calculated at the PBE-GGA level.

```
TaTi12Al6
1.0
4.862 2.807 3.941
-4.862 2.807 3.941
0.000 -5.614 3.941
Ta Ti Al
1 12 6
Direct
0.000 0.000 0.000
0.050 0.154 0.375
0.154 0.375 0.050
0.203 0.477 0.558
0.375 0.050 0.154
0.442 0.797 0.523
0.477 0.558 0.203
0.523 0.442 0.797
0.558 0.203 0.477
0.625 0.950 0.846
0.797 0.523 0.442
0.846 0.625 0.950
0.950 0.846 0.625
0.117 0.734 0.274
0.266 0.726 0.883
0.274 0.117 0.734
0.726 0.883 0.266
0.734 0.274 0.117
0.883 0.266 0.726
```

Properties
Space-group type: No. 148
Fermi-level density of states: 24.579 states/eV per cell
Total magnetic moment: 0.0 μB per formula unit
Raw total energy: -132.10 eV/cell


Record 8
Below is TaTi6Al2 after structural relaxation, with properties calculated at the PBE-GGA level.

```
TaTi6Al2
1.0
-2.349 2.733 6.122
2.349 -2.733 6.122
2.349 2.733 -6.122
Ta Ti Al
1 6 2
Direct
0.000 0.000 0.000
0.123 0.390 0.733
0.213 0.213 0.000
0.344 0.610 0.733
0.656 0.390 0.267
0.787 0.787 0.000
0.877 0.610 0.267
0.347 0.847 0.500
0.653 0.153 0.500
```

Properties
Space-group type: No. 71
Fermi-level density of states: 10.543 states/eV per cell
Total magnetic moment: 0.0 μB per formula unit
Raw total energy: -66.55 eV/cell


Record 9
Below is Ta3TiAl4 after structural relaxation, with properties calculated at the PBE-GGA level.

```
Ta3TiAl4
1.0
9.069 0.000 0.000
0.000 5.778 0.000
0.000 0.000 5.082
Ta Ti Al
6 2 8
Direct
0.000 0.134 0.000
0.224 0.621 0.700
0.276 0.379 0.200
0.500 0.866 0.500
0.724 0.379 0.200
0.776 0.621 0.700
0.000 0.616 0.092
0.500 0.384 0.592
0.000 0.344 0.503
0.000 0.897 0.519
0.242 0.879 0.200
0.258 0.121 0.700
0.500 0.103 0.019
0.500 0.656 0.003
0.742 0.121 0.700
0.758 0.879 0.200
```

Properties
Space-group type: No. 31
Fermi-level density of states: 10.205 states/eV per cell
Total magnetic moment: 0.0 μB per formula unit
Raw total energy: -120.27 eV/cell


Record 10
Below is TaTiAl3 after structural relaxation, with properties calculated at the PBE-GGA level.

```
TaTiAl3
1.0
7.457 -1.936 0.000
7.457 1.936 0.000
-1.001 0.000 5.683
Ta Ti Al
2 2 6
Direct
0.100 0.100 0.040
0.900 0.900 0.960
0.296 0.296 0.661
0.704 0.704 0.339
0.104 0.104 0.547
0.300 0.300 0.154
0.498 0.498 0.746
0.502 0.502 0.254
0.700 0.700 0.846
0.896 0.896 0.453
```

Properties
Space-group type: No. 12
Relative energy among the computed polymorphs: 0 meV/atom
Fermi-level density of states: 6.116 states/eV per cell
Total magnetic moment: 0.0 μB per formula unit
Raw total energy: -64.50 eV/cell


Record 11
Below is TaTi6Al3 after structural relaxation, with properties calculated at the PBE-GGA level.

```
TaTi6Al3
1.0
7.758 0.000 0.000
0.000 4.648 0.000
-3.720 0.000 9.281
Ta Ti Al
2 12 6
Direct
0.041 0.250 0.419
0.959 0.750 0.581
0.079 0.750 0.880
0.146 0.750 0.170
0.154 0.250 0.729
0.256 0.750 0.476
0.344 0.250 0.331
0.453 0.750 0.074
0.547 0.250 0.926
0.656 0.750 0.669
0.744 0.250 0.524
0.846 0.750 0.271
0.854 0.250 0.830
0.921 0.250 0.120
0.235 0.250 0.033
0.368 0.750 0.773
0.443 0.250 0.628
0.557 0.750 0.372
0.632 0.250 0.227
0.765 0.750 0.967
```

Properties
Space-group type: No. 11
Fermi-level density of states: 23.062 states/eV per cell
Total magnetic moment: 0.0 μB per formula unit
Raw total energy: -145.80 eV/cell


Record 12
Below is TaTiAl after structural relaxation, with properties calculated at the PBE-GGA level.

```
TaTiAl
1.0
-1.678 1.678 4.531
1.678 -1.678 4.531
1.678 1.678 -4.531
Ta Ti Al
1 1 1
Direct
0.000 0.000 0.000
0.334 0.334 0.000
0.669 0.669 0.000
```

Properties
Space-group type: No. 107
Relative energy among the computed polymorphs: 12 meV/atom
Fermi-level density of states: 2.865 states/eV per cell
Total magnetic moment: 0.0 μB per formula unit
Raw total energy: -23.98 eV/cell


Record 13
Below is TaTi4Al after structural relaxation, with properties calculated at the PBE-GGA level.

```
TaTi4Al
1.0
2.809 -7.514 0.000
2.809 7.514 0.000
-0.148 0.000 4.917
Ta Ti Al
2 8 2
Direct
0.187 0.813 0.750
0.813 0.187 0.250
0.102 0.402 0.726
0.216 0.274 0.108
0.274 0.216 0.608
0.402 0.102 0.226
0.598 0.898 0.774
0.726 0.784 0.392
0.784 0.726 0.892
0.898 0.598 0.274
0.311 0.689 0.250
0.689 0.311 0.750
```

Properties
Space-group type: No. 15
Relative energy among the computed polymorphs: 102 meV/atom
Fermi-level density of states: 14.624 states/eV per cell
Total magnetic moment: 0.0 μB per formula unit
Raw total energy: -94.02 eV/cell


Record 14
Below is TaTiAl6 after structural relaxation, with properties calculated at the PBE-GGA level.

```
TaTiAl6
1.0
3.846 0.000 0.000
0.000 3.846 0.000
0.000 0.000 8.610
Ta Ti Al
1 1 6
Direct
0.000 0.000 0.000
0.500 0.500 0.500
0.000 0.000 0.500
0.000 0.500 0.251
0.000 0.500 0.749
0.500 0.000 0.251
0.500 0.000 0.749
0.500 0.500 0.000
```

Properties
Space-group type: No. 123
Fermi-level density of states: 3.507 states/eV per cell
Total magnetic moment: 0.0 μB per formula unit
Raw total energy: -45.10 eV/cell


Record 15
Below is TaAlTl2 after structural relaxation, with properties calculated at the PBE-GGA level.

```
TaAlTl2
1.0
1.987 -2.325 0.000
1.987 2.325 0.000
0.000 0.000 9.561
Ta Al Tl
1 1 2
Direct
0.000 0.000 0.000
0.000 0.000 0.500
0.500 0.500 0.243
0.500 0.500 0.757
```

Properties
Space-group type: No. 65
Relative energy among the computed polymorphs: 280 meV/atom
Fermi-level density of states: 3.203 states/eV per cell
Total magnetic moment: 0.0 μB per formula unit
Raw total energy: -18.04 eV/cell


Record 16
Below is TaAlTl2 after structural relaxation, with properties calculated at the PBE-GGA level.

```
TaAlTl2
1.0
3.030 0.000 0.000
0.000 3.704 0.000
-1.388 0.000 8.402
Ta Al Tl
1 1 2
Direct
0.000 0.000 0.000
0.575 0.500 0.163
0.200 0.000 0.423
0.393 0.500 0.764
```

Properties
Space-group type: No. 6
Relative energy among the computed polymorphs: 92 meV/atom
Fermi-level density of states: 3.465 states/eV per cell
Total magnetic moment: 0.0 μB per formula unit
Raw total energy: -18.79 eV/cell


Record 17
Below is TaAlTl2 after structural relaxation, with properties calculated at the PBE-GGA level.

```
TaAlTl2
1.0
3.311 0.000 0.000
0.000 4.195 0.000
0.000 0.000 6.105
Ta Al Tl
1 1 2
Direct
0.000 0.000 0.000
0.000 0.000 0.500
0.500 0.500 0.250
0.500 0.500 0.750
```

Properties
Space-group type: No. 47
Relative energy among the computed polymorphs: 275 meV/atom
Fermi-level density of states: 2.048 states/eV per cell
Total magnetic moment: 0.0 μB per formula unit
Raw total energy: -18.06 eV/cell


Record 18
Below is TaAlTl2 after structural relaxation, with properties calculated at the PBE-GGA level.

```
TaAlTl2
1.0
3.047 0.000 0.000
0.000 5.313 0.000
0.000 0.000 5.397
Ta Al Tl
1 1 2
Direct
0.000 0.000 0.000
0.500 0.000 0.500
0.000 0.500 0.500
0.500 0.500 0.000
```

Properties
Space-group type: No. 47
Relative energy among the computed polymorphs: 208 meV/atom
Fermi-level density of states: 2.246 states/eV per cell
Total magnetic moment: 0.0 μB per formula unit
Raw total energy: -18.33 eV/cell


Record 19
Below is TaAlTl2 after structural relaxation, with properties calculated at the PBE-GGA level.

```
TaAlTl2
1.0
3.053 0.000 0.000
0.000 3.053 0.000
0.000 0.000 9.782
Ta Al Tl
1 1 2
Direct
0.000 0.000 0.000
0.500 0.500 0.816
0.000 0.000 0.557
0.500 0.500 0.251
```

Properties
Space-group type: No. 99
Relative energy among the computed polymorphs: 0 meV/atom
Fermi-level density of states: 2.913 states/eV per cell
Total magnetic moment: 0.0 μB per formula unit
Raw total energy: -19.16 eV/cell


Record 20
Below is TaAlTl2 after structural relaxation, with properties calculated at the PBE-GGA level.

```
TaAlTl2
1.0
-3.941 3.941 2.919
3.941 -3.941 2.919
3.941 3.941 -2.919
Ta Al Tl
2 2 4
Direct
0.000 0.000 0.000
0.750 0.250 0.500
0.250 0.750 0.500
0.500 0.500 0.000
0.135 0.625 0.010
0.375 0.385 0.510
0.615 0.125 0.990
0.875 0.865 0.490
```

Properties
Space-group type: No. 122
Relative energy among the computed polymorphs: 522 meV/atom
Fermi-level density of states: 5.519 states/eV per cell
Total magnetic moment: 0.0 μB per formula unit
Raw total energy: -34.14 eV/cell


Record 21
Below is TaAlTl2 after structural relaxation, with properties calculated at the PBE-GGA level.

```
TaAlTl2
1.0
4.169 0.000 0.000
0.000 4.169 0.000
0.000 0.000 4.868
Ta Al Tl
1 1 2
Direct
0.000 0.000 0.000
0.500 0.500 0.000
0.000 0.500 0.500
0.500 0.000 0.500
```

Properties
Space-group type: No. 123
Relative energy among the computed polymorphs: 340 meV/atom
Fermi-level density of states: 3.098 states/eV per cell
Total magnetic moment: 0.0 μB per formula unit
Raw total energy: -17.80 eV/cell


Record 22
Below is Ta2Al2Tl after structural relaxation, with properties calculated at the PBE-GGA level.

```
Ta2Al2Tl
1.0
8.000 0.000 0.000
0.000 8.000 0.000
0.000 0.000 3.036
Ta Al Tl
4 4 2
Direct
0.119 0.381 0.000
0.381 0.881 0.000
0.619 0.119 0.000
0.881 0.619 0.000
0.176 0.676 0.500
0.324 0.176 0.500
0.676 0.824 0.500
0.824 0.324 0.500
0.000 0.000 0.000
0.500 0.500 0.000
```

Properties
Space-group type: No. 127
Fermi-level density of states: 5.400 states/eV per cell
Total magnetic moment: 0.0 μB per formula unit
Raw total energy: -65.09 eV/cell


Record 23
Below is Ta4AlTl after structural relaxation, with properties calculated at the PBE-GGA level.

```
Ta4AlTl
1.0
0.000 3.919 3.919
3.919 0.000 3.919
3.919 3.919 0.000
Ta Al Tl
4 1 1
Direct
0.376 0.376 0.376
0.376 0.376 0.872
0.376 0.872 0.376
0.872 0.376 0.376
0.750 0.750 0.750
0.000 0.000 0.000
```

Properties
Space-group type: No. 216
Fermi-level density of states: 4.593 states/eV per cell
Total magnetic moment: 0.0 μB per formula unit
Raw total energy: -50.43 eV/cell


We obtain formation energy values of -0.4, 6.7, -0.4, -1.2, -7.2, 4.7, -3.1, 0.2, -1.7, -1.3, -2.4, -0.5, 0.2, -2.9, 2.3, 1.5, 2.3, 2.0, 1.2, 3.3, 2.5, 1.0, 3.1 eV/f.u. for the records listed above, in that order.